No. 1
Nb5V2H12 PBE relaxed; calculated density = 6.20 g/cm3; DFT total energy = -111.1 eV/f.u.; spin magnetization = 0.00 μB/cell
1.0
4.823 -2.591 0.000
4.823 2.591 0.000
-1.084 0.000 6.196
Nb V H
5 2 12
direct
0.000 0.000 0.000
0.279 0.279 0.679
0.344 0.344 0.124
0.656 0.656 0.876
0.721 0.721 0.321
0.231 0.769 0.500
0.769 0.231 0.500
0.055 0.610 0.900
0.061 0.061 0.326
0.132 0.509 0.402
0.390 0.945 0.100
0.478 0.478 0.680
0.491 0.868 0.598
0.509 0.132 0.402
0.522 0.522 0.320
0.610 0.055 0.900
0.868 0.491 0.598
0.939 0.939 0.674
0.945 0.390 0.100

---

No. 2
TmSc5Tl4 PBE relaxed; calculated density = 8.30 g/cm3; DFT total energy = -47.7 eV/f.u.; spin magnetization = 0.62 μB/cell; energy relative to the elements = -0.21 eV per atom
1.0
3.436 0.000 0.000
0.000 3.436 0.000
0.000 0.000 20.524
Tm Sc Tl
1 5 4
direct
0.000 0.000 0.000
0.500 0.500 0.112
0.500 0.500 0.305
0.500 0.500 0.500
0.500 0.500 0.695
0.500 0.500 0.888
0.000 0.000 0.208
0.000 0.000 0.402
0.000 0.000 0.598
0.000 0.000 0.792

---

No. 3
AlTcHg2 PBE relaxed; calculated density = 11.67 g/cm3; DFT total energy = -13.8 eV/f.u.; spin magnetization = 0.45 μB/cell; energy relative to the elements = 0.22 eV per atom
1.0
3.292 0.000 0.000
0.000 3.292 0.000
0.000 0.000 6.907
Al Tc Hg
1 1 2
direct
0.000 0.000 0.000
0.500 0.500 0.854
0.000 0.000 0.582
0.500 0.500 0.282

---

No. 4
BeTl2Pb PBE relaxed; calculated density = 9.93 g/cm3; DFT total energy = -10.6 eV/f.u.; spin magnetization = 0.00 μB/cell; energy relative to the elements = 0.39 eV per atom
1.0
2.812 -5.231 0.000
2.812 5.231 0.000
0.000 0.000 3.551
Be Tl Pb
1 2 1
direct
0.000 0.000 0.000
0.182 0.818 0.500
0.818 0.182 0.500
0.500 0.500 0.000

---

No. 5
AcZn2Cd2Au PBE relaxed; calculated density = 8.33 g/cm3; DFT total energy = -12.3 eV/f.u.; spin magnetization = 0.00 μB/cell; energy relative to the elements = -0.08 eV per atom
1.0
-2.563 2.563 5.915
2.563 -2.563 5.915
2.563 2.563 -5.915
Ac Zn Cd Au
1 2 2 1
direct
0.000 0.000 0.000
0.290 0.290 0.000
0.710 0.710 0.000
0.250 0.750 0.500
0.750 0.250 0.500
0.500 0.500 0.000

---

No. 6
BaAlGa2Ru PBE relaxed; calculated density = 5.85 g/cm3; DFT total energy = -23.3 eV/f.u.; spin magnetization = 0.00 μB/cell; energy relative to the elements = -0.46 eV per atom
1.0
4.883 0.000 0.000
0.000 4.883 0.000
0.000 0.000 4.822
Ba Al Ga Ru
1 1 2 1
direct
0.000 0.000 0.000
0.500 0.500 0.000
0.000 0.500 0.500
0.500 0.000 0.500
0.500 0.500 0.500

---

No. 7
Li2Ca2Pt PBE relaxed; calculated density = 3.90 g/cm3; DFT total energy = -15.5 eV/f.u.; spin magnetization = 0.00 μB/cell; energy relative to the elements = -0.32 eV per atom
1.0
-1.818 1.818 9.302
1.818 -1.818 9.302
1.818 1.818 -9.302
Li Ca Pt
2 2 1
direct
0.250 0.750 0.500
0.750 0.250 0.500
0.088 0.088 0.000
0.912 0.912 0.000
0.500 0.500 0.000

---

No. 8
Dy2Cd6Ag3 PBE relaxed; calculated density = 8.50 g/cm3; DFT total energy = -24.3 eV/f.u.; spin magnetization = 0.00 μB/cell; energy relative to the elements = -0.10 eV per atom
1.0
8.003 0.000 0.000
-4.002 6.931 0.000
0.000 0.000 4.658
Dy Cd Ag
2 6 3
direct
0.333 0.667 0.000
0.667 0.333 0.000
0.000 0.214 0.000
0.000 0.747 0.500
0.214 0.000 0.000
0.253 0.253 0.500
0.747 0.000 0.500
0.786 0.786 0.000
0.000 0.412 0.500
0.412 0.000 0.500
0.588 0.588 0.500

---

No. 9
Tb4ErHg5 PBE relaxed; calculated density = 11.57 g/cm3; DFT total energy = -29.4 eV/f.u.; spin magnetization = 0.49 μB/cell; energy relative to the elements = -0.48 eV per atom
1.0
3.723 0.000 0.000
0.000 3.723 0.000
0.000 0.000 18.705
Tb Er Hg
4 1 5
direct
0.000 0.000 0.101
0.000 0.000 0.302
0.000 0.000 0.698
0.000 0.000 0.899
0.000 0.000 0.500
0.500 0.500 0.000
0.500 0.500 0.201
0.500 0.500 0.403
0.500 0.500 0.597
0.500 0.500 0.799

---

No. 10
TlMo2Rh PBE relaxed; calculated density = 12.11 g/cm3; DFT total energy = -29.4 eV/f.u.; spin magnetization = 0.00 μB/cell; energy relative to the elements = 0.49 eV per atom
1.0
1.450 0.837 9.393
-1.450 0.837 9.393
0.000 -1.675 9.393
Tl Mo Rh
1 2 1
direct
0.000 0.000 0.000
0.244 0.244 0.244
0.756 0.756 0.756
0.500 0.500 0.500

---

No. 11
MgInW PBE relaxed; calculated density = 8.01 g/cm3; DFT total energy = -13.4 eV/f.u.; spin magnetization = 2.58 μB/cell; energy relative to the elements = 1.30 eV per atom
1.0
0.000 3.223 3.223
3.223 0.000 3.223
3.223 3.223 0.000
Mg In W
1 1 1
direct
0.000 0.000 0.000
0.250 0.250 0.250
0.750 0.750 0.750

---

No. 12
KCr2Te PBE relaxed; E_form (uncorrected) = 0.32 eV per atom; calculated density = 4.62 g/cm3; DFT total energy = -22.2 eV/f.u.; spin magnetization = 0.50 μB/cell
1.0
3.484 0.000 0.000
0.000 3.484 0.000
0.000 0.000 8.026
K Cr Te
1 2 1
direct
0.000 0.000 0.000
0.000 0.000 0.533
0.500 0.500 0.663
0.500 0.500 0.325

---

No. 13
HoReSb PBE relaxed; E_form (uncorrected) = -0.20 eV per atom; calculated density = 10.82 g/cm3; DFT total energy = -21.8 eV/f.u.; spin magnetization = 0.00 μB/cell
1.0
3.150 0.000 0.000
-0.016 3.166 0.000
-0.004 -0.159 14.548
Ho Re Sb
2 2 2
direct
0.250 0.240 0.308
0.750 0.760 0.692
0.250 0.252 0.547
0.750 0.748 0.453
0.250 0.269 0.867
0.750 0.731 0.133

---

No. 14
Pu2AuS PBE relaxed; E_form (uncorrected) = -0.89 eV per atom; calculated density = 13.45 g/cm3; DFT total energy = -39.6 eV/f.u.; spin magnetization = 12.25 μB/cell
1.0
3.441 0.000 0.000
0.000 3.441 0.000
0.000 0.000 7.477
Pu Au S
2 1 1
direct
0.000 0.000 0.227
0.000 0.000 0.773
0.500 0.500 0.500
0.500 0.500 0.000

---

No. 15
Pm4NdRu PBE relaxed; calculated density = 7.18 g/cm3; DFT total energy = -33.4 eV/f.u.; spin magnetization = 0.00 μB/cell; energy relative to the elements = -0.06 eV per atom
1.0
8.770 -3.795 0.000
8.770 3.795 0.000
-2.133 0.000 5.734
Pm Nd Ru
8 2 2
direct
0.142 0.632 0.387
0.208 0.792 0.000
0.330 0.330 0.830
0.368 0.858 0.613
0.632 0.142 0.387
0.670 0.670 0.170
0.792 0.208 0.000
0.858 0.368 0.613
0.200 0.200 0.200
0.800 0.800 0.800
0.500 0.500 0.258
0.500 0.500 0.742

---

No. 16
CePm2Si3Pt4 PBE relaxed; E_form (uncorrected) = -1.01 eV per atom; calculated density = 10.74 g/cm3; DFT total energy = -65.9 eV/f.u.; spin magnetization = 0.00 μB/cell
1.0
4.290 0.000 0.000
0.000 4.290 0.000
0.000 0.000 10.876
Ce Pm Si Pt
1 2 3 4
direct
0.000 0.000 0.000
0.000 0.500 0.724
0.500 0.000 0.276
0.000 0.500 0.383
0.500 0.000 0.617
0.500 0.500 0.000
0.000 0.000 0.500
0.000 0.500 0.164
0.500 0.000 0.836
0.500 0.500 0.500

---

No. 17
Pa2BiPd2 PBE relaxed; calculated density = 12.93 g/cm3; DFT total energy = -35.2 eV/f.u.; spin magnetization = 0.00 μB/cell; energy relative to the elements = -0.39 eV per atom
1.0
-2.387 3.205 3.709
2.387 -3.205 3.709
2.387 3.205 -3.709
Pa Bi Pd
2 1 2
direct
0.188 0.188 0.000
0.812 0.812 0.000
0.500 0.000 0.500
0.214 0.500 0.714
0.786 0.500 0.286

---

No. 18
Pu4Br3Cl4 PBE relaxed; E_form (uncorrected) = -1.47 eV per atom; calculated density = 7.98 g/cm3; DFT total energy = -85.9 eV/f.u.; spin magnetization = 24.95 μB/cell
1.0
-1.884 4.385 8.552
1.884 -4.385 8.552
1.884 4.385 -8.552
Pu Br Cl
4 3 4
direct
0.221 0.000 0.221
0.245 0.245 0.000
0.755 0.755 0.000
0.779 0.000 0.779
0.098 0.598 0.500
0.500 0.500 0.000
0.902 0.402 0.500
0.139 0.832 0.308
0.476 0.168 0.308
0.524 0.832 0.692
0.861 0.168 0.692

---

No. 19
Pm2P3PtRh12 PBE relaxed; calculated density = 9.57 g/cm3; DFT total energy = -122.7 eV/f.u.; spin magnetization = 0.00 μB/cell; energy relative to the elements = -0.15 eV per atom
1.0
4.250 2.454 5.028
-4.250 2.454 5.028
0.000 -4.907 5.028
Pm P Pt Rh
2 3 1 12
direct
0.106 0.106 0.106
0.894 0.894 0.894
0.000 0.500 0.500
0.500 0.000 0.500
0.500 0.500 0.000
0.500 0.500 0.500
0.136 0.651 0.651
0.167 0.167 0.586
0.167 0.586 0.167
0.349 0.349 0.864
0.349 0.864 0.349
0.414 0.833 0.833
0.586 0.167 0.167
0.651 0.136 0.651
0.651 0.651 0.136
0.833 0.414 0.833
0.833 0.833 0.414
0.864 0.349 0.349

---

No. 20
Pm2Ge3Pd4Pb PBE relaxed; calculated density = 9.28 g/cm3; DFT total energy = -55.0 eV/f.u.; spin magnetization = 0.00 μB/cell; energy relative to the elements = -0.71 eV per atom
1.0
4.358 0.000 0.000
0.000 4.358 0.000
0.000 0.000 10.751
Pm Ge Pd Pb
2 3 4 1
direct
0.000 0.500 0.232
0.500 0.000 0.768
0.000 0.500 0.879
0.500 0.000 0.121
0.500 0.500 0.500
0.000 0.000 0.000
0.000 0.500 0.653
0.500 0.000 0.347
0.500 0.500 0.000
0.000 0.000 0.500

---

No. 21
YFeTc2 PBE relaxed; calculated density = 8.36 g/cm3; DFT total energy = -34.2 eV/f.u.; spin magnetization = 2.20 μB/cell; energy relative to the elements = 0.36 eV per atom
1.0
3.128 0.000 0.000
0.000 4.586 0.000
-0.774 0.000 4.718
Y Fe Tc
1 1 2
direct
0.000 0.000 0.000
0.500 0.000 0.500
0.323 0.500 0.734
0.677 0.500 0.266

---

No. 22
Tm2MnC PBE relaxed; calculated density = 7.67 g/cm3; DFT total energy = -26.4 eV/f.u.; spin magnetization = 3.52 μB/cell; energy relative to the elements = 0.22 eV per atom
1.0
1.714 0.989 8.621
-1.714 0.989 8.621
0.000 -1.979 8.621
Tm Mn C
2 1 1
direct
0.116 0.116 0.116
0.884 0.884 0.884
0.000 0.000 0.000
0.500 0.500 0.500

---

No. 23
YCd14Hg PBE relaxed; calculated density = 8.30 g/cm3; DFT total energy = -20.3 eV/f.u.; spin magnetization = 0.00 μB/cell; energy relative to the elements = -0.05 eV per atom
1.0
6.578 0.000 0.000
0.000 6.578 0.000
0.000 0.000 8.613
Y Cd Hg
1 14 1
direct
0.000 0.000 0.000
0.000 0.000 0.500
0.000 0.500 0.000
0.000 0.500 0.500
0.253 0.253 0.255
0.253 0.253 0.745
0.253 0.747 0.255
0.253 0.747 0.745
0.500 0.000 0.000
0.500 0.000 0.500
0.500 0.500 0.500
0.747 0.253 0.255
0.747 0.253 0.745
0.747 0.747 0.255
0.747 0.747 0.745
0.500 0.500 0.000

---

No. 24
GaAgSn PBE relaxed; calculated density = 7.40 g/cm3; DFT total energy = -9.6 eV/f.u.; spin magnetization = 0.00 μB/cell; energy relative to the elements = 0.10 eV per atom
1.0
2.709 -3.946 0.000
2.709 3.946 0.000
0.000 0.000 6.217
Ga Ag Sn
2 2 2
direct
0.000 0.000 0.000
0.000 0.000 0.500
0.290 0.710 0.750
0.710 0.290 0.250
0.353 0.647 0.250
0.647 0.353 0.750